(1)
Computed, not measured: a relaxed Sc5Si2Sb2 crystal at the PBE level of DFT.

Cell: 8.031 8.031 7.366 Å, 90.00 90.00 54.51°
Atoms (fractional coordinates):
Sc  0.000  0.000  0.000
Sc  0.043  0.709  0.668
Sc  0.209  0.543  0.168
Sc  0.291  0.957  0.668
Sc  0.457  0.791  0.168
Sc  0.500  0.500  0.500
Sc  0.543  0.209  0.832
Sc  0.709  0.043  0.332
Sc  0.791  0.457  0.832
Sc  0.957  0.291  0.332
Si  0.129  0.871  0.372
Si  0.371  0.629  0.872
Si  0.629  0.371  0.128
Si  0.871  0.129  0.628
Sb  0.207  0.207  0.000
Sb  0.293  0.293  0.500
Sb  0.707  0.707  0.500
Sb  0.793  0.793  0.000

- Space-group type: Cmce (64)
- DOS at the Fermi energy: 0.674 states/eV per atom

***

(2)
Computed, not measured: a relaxed K3Mg5I12 crystal at the PBE level of DFT.

Cell: 16.408 16.408 16.408 Å, 109.47 109.47 109.47°
Atoms (fractional coordinates):
K  0.125  0.250  0.375
K  0.125  0.375  0.750
K  0.250  0.375  0.125
K  0.250  0.875  0.625
K  0.375  0.125  0.250
K  0.375  0.750  0.125
K  0.625  0.250  0.875
K  0.625  0.875  0.750
K  0.750  0.125  0.375
K  0.750  0.625  0.875
K  0.875  0.625  0.250
K  0.875  0.750  0.625
Mg  0.000  0.000  0.000
Mg  0.000  0.000  0.500
Mg  0.000  0.500  0.000
Mg  0.000  0.500  0.500
Mg  0.125  0.750  0.875
Mg  0.125  0.875  0.250
Mg  0.250  0.125  0.875
Mg  0.250  0.625  0.375
Mg  0.375  0.250  0.625
Mg  0.375  0.625  0.750
Mg  0.500  0.000  0.000
Mg  0.500  0.000  0.500
Mg  0.500  0.500  0.000
Mg  0.500  0.500  0.500
Mg  0.625  0.375  0.250
Mg  0.625  0.750  0.375
Mg  0.750  0.375  0.625
Mg  0.750  0.875  0.125
Mg  0.875  0.125  0.750
Mg  0.875  0.250  0.125
I  0.020  0.201  0.115
I  0.020  0.319  0.905
I  0.086  0.701  0.681
I  0.086  0.885  0.405
I  0.095  0.615  0.414
I  0.095  0.980  0.681
I  0.115  0.020  0.201
I  0.115  0.595  0.914
I  0.181  0.201  0.586
I  0.181  0.480  0.595
I  0.201  0.115  0.020
I  0.201  0.586  0.181
I  0.299  0.319  0.914
I  0.299  0.480  0.385
I  0.319  0.905  0.020
I  0.319  0.914  0.299
I  0.385  0.299  0.480
I  0.385  0.586  0.905
I  0.405  0.086  0.885
I  0.405  0.819  0.520
I  0.414  0.095  0.615
I  0.414  0.819  0.799
I  0.480  0.385  0.299
I  0.480  0.595  0.181
I  0.520  0.405  0.819
I  0.520  0.615  0.701
I  0.586  0.181  0.201
I  0.586  0.905  0.385
I  0.595  0.181  0.480
I  0.595  0.914  0.115
I  0.615  0.414  0.095
I  0.615  0.701  0.520
I  0.681  0.086  0.701
I  0.681  0.095  0.980
I  0.701  0.520  0.615
I  0.701  0.681  0.086
I  0.799  0.414  0.819
I  0.799  0.885  0.980
I  0.819  0.520  0.405
I  0.819  0.799  0.414
I  0.885  0.405  0.086
I  0.885  0.980  0.799
I  0.905  0.020  0.319
I  0.905  0.385  0.586
I  0.914  0.115  0.595
I  0.914  0.299  0.319
I  0.980  0.681  0.095
I  0.980  0.799  0.885

- Space-group type: Ia-3d (230)
- DOS at the Fermi energy: 0.210 states/eV per atom

***

The evaluated uncorrected formation energy for the records listed, in turn: -889; -1066 meV/atom.